# 1
The following is a PBE calculation of a relaxed BaNa2Zn2Ge2 crystal, from Alexandria via LeMat-Bulk.

Results
DFT formation energy = -2.08 eV per formula unit
Mass density = 4.4 g cm⁻³
M_tot = 0.00 μB/atom
DOS(E_F) = 0.272 states/eV per atom
E = -55.28 eV/cell

CIF file:
```
data_BaNa2Zn2Ge2
_symmetry_space_group_name_H-M 'R -3 m'
_symmetry_Int_Tables_number 166
_symmetry_space_group_name_Hall '-R 3 2"'
_cell_length_a 4.5007
_cell_length_b 4.5007
_cell_length_c 29.5289
_cell_angle_alpha 90.00
_cell_angle_beta 90.00
_cell_angle_gamma 120.00
loop_
_atom_site_label
_atom_site_type_symbol
_atom_site_fract_x
_atom_site_fract_y
_atom_site_fract_z
_atom_site_occupancy
Ba1 Ba 0.0000 0.0000 0.0000 1
Na1 Na 0.0000 0.0000 0.1377 1
Zn1 Zn 0.0000 0.0000 0.4166 1
Ge1 Ge 0.0000 0.0000 0.2528 1
```

***

# 2
The following is a PBE calculation of a relaxed BaNaZnGe crystal, from Alexandria via LeMat-Bulk.

Results
DFT formation energy = -0.50 eV per formula unit
Mass density = 4.4 g cm⁻³
M_tot = 0.00 μB/atom
DOS(E_F) = 0.790 states/eV per atom
E = -38.54 eV/cell

CIF file:
```
data_BaNaZnGe
_symmetry_space_group_name_H-M 'F -4 3 m'
_symmetry_Int_Tables_number 216
_symmetry_space_group_name_Hall 'F -4 2 3'
_cell_length_a 7.691
_cell_length_b 7.691
_cell_length_c 7.691
_cell_angle_alpha 90.00
_cell_angle_beta 90.00
_cell_angle_gamma 90.00
loop_
_atom_site_label
_atom_site_type_symbol
_atom_site_fract_x
_atom_site_fract_y
_atom_site_fract_z
_atom_site_occupancy
Ba1 Ba 0.000 0.000 0.000 1
Na1 Na 0.000 0.000 0.500 1
Zn1 Zn 0.250 0.250 0.750 1
Ge1 Ge 0.250 0.250 0.250 1
```

***

# 3
The following is a PBE calculation of a relaxed BaNaZn2Ge2 crystal, from Alexandria via LeMat-Bulk.

Results
DFT formation energy = -1.71 eV per formula unit
Mass density = 5.2 g cm⁻³
M_tot = 0.00 μB/atom
DOS(E_F) = 0.498 states/eV per atom
E = -16.74 eV/cell

CIF file:
```
data_BaNaZn2Ge2
_symmetry_space_group_name_H-M 'P -3 m 1'
_symmetry_Int_Tables_number 164
_symmetry_space_group_name_Hall '-P 3 2"'
_cell_length_a 4.4881
_cell_length_b 4.4881
_cell_length_c 8.0051
_cell_angle_alpha 90.00
_cell_angle_beta 90.00
_cell_angle_gamma 120.00
loop_
_atom_site_label
_atom_site_type_symbol
_atom_site_fract_x
_atom_site_fract_y
_atom_site_fract_z
_atom_site_occupancy
Ba1 Ba 0.0000 0.0000 0.0000 1
Na1 Na 0.0000 0.0000 0.5000 1
Zn1 Zn 0.3333 0.6667 0.6774 1
Ge1 Ge 0.3333 0.6667 0.2863 1
```

***

# 4
The following is a PBE calculation of a relaxed BaNbGe3 crystal, from Alexandria via LeMat-Bulk.

Results
Energy above the most stable polymorph in this dataset = 52.07 kcal/mol of atoms
DFT formation energy = 9.97 eV per formula unit
Mass density = 4.6 g cm⁻³
M_tot = 0.03 μB/atom
DOS(E_F) = 2.160 states/eV per atom
E = -15.87 eV/cell

CIF file:
```
data_BaNbGe3
_symmetry_space_group_name_H-M 'P m -3 m'
_symmetry_Int_Tables_number 221
_symmetry_space_group_name_Hall '-P 4 2 3'
_cell_length_a 5.462
_cell_length_b 5.462
_cell_length_c 5.462
_cell_angle_alpha 90.00
_cell_angle_beta 90.00
_cell_angle_gamma 90.00
loop_
_atom_site_label
_atom_site_type_symbol
_atom_site_fract_x
_atom_site_fract_y
_atom_site_fract_z
_atom_site_occupancy
Ba1 Ba 0.000 0.000 0.000 1
Nb1 Nb 0.500 0.500 0.500 1
Ge1 Ge 0.000 0.000 0.500 1
```

***

# 5
The following is a PBE calculation of a relaxed BaNbGe3 crystal, from Alexandria via LeMat-Bulk.

Results
Energy above the most stable polymorph in this dataset = 0.00 kcal/mol of atoms
DFT formation energy = -1.32 eV per formula unit
Mass density = 5.6 g cm⁻³
M_tot = 0.00 μB/atom
DOS(E_F) = 0.666 states/eV per atom
E = -27.16 eV/cell

CIF file:
```
data_BaNbGe3
_symmetry_space_group_name_H-M 'P m -3 m'
_symmetry_Int_Tables_number 221
_symmetry_space_group_name_Hall '-P 4 2 3'
_cell_length_a 5.091
_cell_length_b 5.091
_cell_length_c 5.091
_cell_angle_alpha 90.00
_cell_angle_beta 90.00
_cell_angle_gamma 90.00
loop_
_atom_site_label
_atom_site_type_symbol
_atom_site_fract_x
_atom_site_fract_y
_atom_site_fract_z
_atom_site_occupancy
Ba1 Ba 0.000 0.000 0.000 1
Nb1 Nb 0.500 0.500 0.500 1
Ge1 Ge 0.000 0.500 0.500 1
```

***

# 6
The following is a PBE calculation of a relaxed BaNb2Ge crystal, from Alexandria via LeMat-Bulk.

Results
DFT formation energy = 2.10 eV per formula unit
Mass density = 5.5 g cm⁻³
M_tot = 0.00 μB/atom
DOS(E_F) = 0.751 states/eV per atom
E = -98.31 eV/cell

CIF file:
```
data_BaNb2Ge
_symmetry_space_group_name_H-M 'I 41/a m d'
_symmetry_Int_Tables_number 141
_cell_length_a 4.946
_cell_length_b 4.946
_cell_length_c 19.502
_cell_angle_alpha 90.00
_cell_angle_beta 90.00
_cell_angle_gamma 90.00
loop_
_symmetry_equiv_pos_as_xyz
'x,y,z'
'-x,-y,-z'
'-y+1/4,x+3/4,z+1/4'
'y+1/4,-x+3/4,-z+1/4'
'-x+1/2,-y,z+1/2'
'x+1/2,y,-z+1/2'
'y+1/4,-x+1/4,z+3/4'
'-y+1/4,x+1/4,-z+3/4'
'x,-y,-z'
'-x,y,z'
'-y+1/4,-x+1/4,-z+3/4'
'y+1/4,x+1/4,z+3/4'
'-x+1/2,y,-z+1/2'
'x+1/2,-y,z+1/2'
'y+1/4,x+3/4,-z+1/4'
'-y+1/4,-x+3/4,z+1/4'
'x+1/2,y+1/2,z+1/2'
'-x+1/2,-y+1/2,-z+1/2'
'-y+3/4,x+1/4,z+3/4'
'y+3/4,-x+1/4,-z+3/4'
'-x,-y+1/2,z'
'x,y+1/2,-z'
'y+3/4,-x+3/4,z+1/4'
'-y+3/4,x+3/4,-z+1/4'
'x+1/2,-y+1/2,-z+1/2'
'-x+1/2,y+1/2,z+1/2'
'-y+3/4,-x+3/4,-z+1/4'
'y+3/4,x+3/4,z+1/4'
'-x,y+1/2,-z'
'x,-y+1/2,z'
'y+3/4,x+1/4,-z+3/4'
'-y+3/4,-x+1/4,z+3/4'
loop_
_atom_site_label
_atom_site_type_symbol
_atom_site_fract_x
_atom_site_fract_y
_atom_site_fract_z
_atom_site_occupancy
Ba1 Ba 0.000 0.250 0.375 1
Nb1 Nb 0.000 0.000 0.000 1
Ge1 Ge 0.000 0.250 0.875 1
```

***

# 7
The following is a PBE calculation of a relaxed BaNbGe2 crystal, from Alexandria via LeMat-Bulk.

Results
Energy above the most stable polymorph in this dataset = 0.00 kcal/mol of atoms
DFT formation energy = -0.07 eV per formula unit
Mass density = 4.8 g cm⁻³
M_tot = 0.00 μB/atom
DOS(E_F) = 1.042 states/eV per atom
E = -85.17 eV/cell

CIF file:
```
data_BaNbGe2
_symmetry_space_group_name_H-M 'I 41/a m d'
_symmetry_Int_Tables_number 141
_cell_length_a 5.575
_cell_length_b 5.575
_cell_length_c 16.841
_cell_angle_alpha 90.00
_cell_angle_beta 90.00
_cell_angle_gamma 90.00
loop_
_symmetry_equiv_pos_as_xyz
'x,y,z'
'-x,-y,-z'
'-y+1/4,x+3/4,z+1/4'
'y+1/4,-x+3/4,-z+1/4'
'-x+1/2,-y,z+1/2'
'x+1/2,y,-z+1/2'
'y+1/4,-x+1/4,z+3/4'
'-y+1/4,x+1/4,-z+3/4'
'x,-y,-z'
'-x,y,z'
'-y+1/4,-x+1/4,-z+3/4'
'y+1/4,x+1/4,z+3/4'
'-x+1/2,y,-z+1/2'
'x+1/2,-y,z+1/2'
'y+1/4,x+3/4,-z+1/4'
'-y+1/4,-x+3/4,z+1/4'
'x+1/2,y+1/2,z+1/2'
'-x+1/2,-y+1/2,-z+1/2'
'-y+3/4,x+1/4,z+3/4'
'y+3/4,-x+1/4,-z+3/4'
'-x,-y+1/2,z'
'x,y+1/2,-z'
'y+3/4,-x+3/4,z+1/4'
'-y+3/4,x+3/4,-z+1/4'
'x+1/2,-y+1/2,-z+1/2'
'-x+1/2,y+1/2,z+1/2'
'-y+3/4,-x+3/4,-z+1/4'
'y+3/4,x+3/4,z+1/4'
'-x,y+1/2,-z'
'x,-y+1/2,z'
'y+3/4,x+1/4,-z+3/4'
'-y+3/4,-x+1/4,z+3/4'
loop_
_atom_site_label
_atom_site_type_symbol
_atom_site_fract_x
_atom_site_fract_y
_atom_site_fract_z
_atom_site_occupancy
Ba1 Ba 0.000 0.250 0.375 1
Nb1 Nb 0.000 0.250 0.875 1
Ge1 Ge 0.000 0.000 0.000 1
```

***

# 8
The following is a PBE calculation of a relaxed Ba3NbGe crystal, from Alexandria via LeMat-Bulk.

Results
Energy above the most stable polymorph in this dataset = 0.00 kcal/mol of atoms
DFT formation energy = 3.35 eV per formula unit
Mass density = 3.7 g cm⁻³
M_tot = 1.02 μB/atom
DOS(E_F) = 1.311 states/eV per atom
E = -17.10 eV/cell

CIF file:
```
data_Ba3NbGe
_symmetry_space_group_name_H-M 'P m -3 m'
_symmetry_Int_Tables_number 221
_symmetry_space_group_name_Hall '-P 4 2 3'
_cell_length_a 6.348
_cell_length_b 6.348
_cell_length_c 6.348
_cell_angle_alpha 90.00
_cell_angle_beta 90.00
_cell_angle_gamma 90.00
loop_
_atom_site_label
_atom_site_type_symbol
_atom_site_fract_x
_atom_site_fract_y
_atom_site_fract_z
_atom_site_occupancy
Ba1 Ba 0.000 0.000 0.500 1
Nb1 Nb 0.500 0.500 0.500 1
Ge1 Ge 0.000 0.000 0.000 1
```

***

# 9
The following is a PBE calculation of a relaxed BaNbGe2 crystal, from Alexandria via LeMat-Bulk.

Results
Energy above the most stable polymorph in this dataset = 6.68 kcal/mol of atoms
DFT formation energy = 1.09 eV per formula unit
Mass density = 6.5 g cm⁻³
M_tot = 0.58 μB/atom
DOS(E_F) = 0.690 states/eV per atom
E = -80.54 eV/cell

CIF file:
```
data_BaNbGe2
_symmetry_space_group_name_H-M 'F m -3 m'
_symmetry_Int_Tables_number 225
_symmetry_space_group_name_Hall '-F 4 2 3'
_cell_length_a 7.249
_cell_length_b 7.249
_cell_length_c 7.249
_cell_angle_alpha 90.00
_cell_angle_beta 90.00
_cell_angle_gamma 90.00
loop_
_atom_site_label
_atom_site_type_symbol
_atom_site_fract_x
_atom_site_fract_y
_atom_site_fract_z
_atom_site_occupancy
Ba1 Ba 0.000 0.000 0.000 1
Nb1 Nb 0.000 0.000 0.500 1
Ge1 Ge 0.250 0.250 0.250 1
```

***

# 10
The following is a PBE calculation of a relaxed Ba2NbGeO6 crystal, from Alexandria via LeMat-Bulk.

Results
Mass density = 6.2 g cm⁻³
M_tot = 0.00 μB/atom
DOS(E_F) = 0.167 states/eV per atom
E = -144.52 eV/cell

CIF file:
```
data_Ba2NbGeO6
_symmetry_space_group_name_H-M 'I 4/m m m'
_symmetry_Int_Tables_number 139
_symmetry_space_group_name_Hall '-I 4 2'
_cell_length_a 5.883
_cell_length_b 5.883
_cell_length_c 8.305
_cell_angle_alpha 90.00
_cell_angle_beta 90.00
_cell_angle_gamma 90.00
loop_
_atom_site_label
_atom_site_type_symbol
_atom_site_fract_x
_atom_site_fract_y
_atom_site_fract_z
_atom_site_occupancy
Ba1 Ba 0.000 0.500 0.250 1
Nb1 Nb 0.000 0.000 0.000 1
Ge1 Ge 0.000 0.000 0.500 1
O1 O 0.000 0.000 0.245 1
O2 O 0.244 0.244 0.000 1
```

***

# 11
The following is a PBE calculation of a relaxed BaNbGeOs2 crystal, from Alexandria via LeMat-Bulk.

Results
DFT formation energy = 16.40 eV per formula unit
Mass density = 8.8 g cm⁻³
M_tot = 0.06 μB/atom
DOS(E_F) = 1.833 states/eV per atom
E = -22.66 eV/cell

CIF file:
```
data_BaNbGeOs2
_symmetry_space_group_name_H-M 'P 4/m m m'
_symmetry_Int_Tables_number 123
_symmetry_space_group_name_Hall '-P 4 2'
_cell_length_a 5.005
_cell_length_b 5.005
_cell_length_c 5.139
_cell_angle_alpha 90.00
_cell_angle_beta 90.00
_cell_angle_gamma 90.00
loop_
_atom_site_label
_atom_site_type_symbol
_atom_site_fract_x
_atom_site_fract_y
_atom_site_fract_z
_atom_site_occupancy
Ba1 Ba 0.000 0.000 0.000 1
Nb1 Nb 0.000 0.000 0.500 1
Ge1 Ge 0.500 0.500 0.500 1
Os1 Os 0.000 0.500 0.000 1
```

***

# 12
The following is a PBE calculation of a relaxed BaNb2GePb crystal, from Alexandria via LeMat-Bulk.

Results
DFT formation energy = 11.67 eV per formula unit
Mass density = 6.2 g cm⁻³
M_tot = 0.00 μB/atom
DOS(E_F) = 1.050 states/eV per atom
E = -18.72 eV/cell

CIF file:
```
data_BaNb2GePb
_symmetry_space_group_name_H-M 'P 4/m m m'
_symmetry_Int_Tables_number 123
_symmetry_space_group_name_Hall '-P 4 2'
_cell_length_a 5.155
_cell_length_b 5.155
_cell_length_c 6.081
_cell_angle_alpha 90.00
_cell_angle_beta 90.00
_cell_angle_gamma 90.00
loop_
_atom_site_label
_atom_site_type_symbol
_atom_site_fract_x
_atom_site_fract_y
_atom_site_fract_z
_atom_site_occupancy
Ba1 Ba 0.000 0.000 0.000 1
Nb1 Nb 0.000 0.500 0.000 1
Ge1 Ge 0.500 0.500 0.500 1
Pb1 Pb 0.000 0.000 0.500 1
```